Entry 1:
Compound: CsCd2PbCl8
Source: Alexandria via LeMat-Bulk
Functional: PBE
Structure: relaxed

a b c (Å): 6.693 6.829 9.570
angles (deg): 74.60 76.33 75.53
Fractional coordinates of all 12 atoms:
Cs (0.000, 0.000, 0.500)
Cd (0.455, 0.447, 0.720)
Cd (0.545, 0.553, 0.280)
Pb (0.000, 0.000, 0.000)
Cl (0.169, 0.705, 0.229)
Cl (0.722, 0.753, 0.031)
Cl (0.729, 0.201, 0.209)
Cl (0.831, 0.295, 0.771)
Cl (0.278, 0.247, 0.969)
Cl (0.271, 0.799, 0.791)
Cl (0.625, 0.701, 0.473)
Cl (0.375, 0.299, 0.527)

Summary:
* ρ: 3.5 Mg/m³
* uncorrected formation energy: -106.7 kJ/mol of atoms
* raw total energy: -34.44 eV/f.u.
* SG: No. 2



Entry 2:
Compound: Cs2PmCdCl6
Source: Alexandria via LeMat-Bulk
Functional: PBE
Structure: relaxed

a b c (Å): 8.001 7.999 11.312
angles (deg): 90.00 90.00 90.00
Last column: magnetic moment on the atom in μB.
Fractional coordinates of all 20 atoms:
Cs (0.500, 0.750, 0.250)  0.00
Cs (0.000, 0.250, 0.750)  0.00
Cs (0.500, 0.750, 0.750)  0.00
Cs (0.000, 0.250, 0.250)  0.00
Pm (0.500, 0.248, 0.500)  0.05
Pm (0.000, 0.752, 0.000)  0.05
Cd (0.000, 0.748, 0.500)  0.25
Cd (0.500, 0.252, 0.000)  0.25
Cl (0.500, 0.248, 0.260)  0.02
Cl (0.500, 0.248, 0.740)  0.02
Cl (0.000, 0.752, 0.240)  0.02
Cl (0.000, 0.752, 0.760)  0.02
Cl (0.260, 0.008, 0.500)  0.02
Cl (0.740, 0.008, 0.500)  0.02
Cl (0.260, 0.488, 0.500)  0.02
Cl (0.740, 0.488, 0.500)  0.02
Cl (0.760, 0.512, 0.000)  0.02
Cl (0.240, 0.512, 0.000)  0.02
Cl (0.240, 0.992, 0.000)  0.02
Cl (0.760, 0.992, 0.000)  0.02

Summary:
* ρ: 3.4 Mg/m³
* uncorrected formation energy: -174.1 kJ/mol of atoms
* raw total energy: -36.50 eV/f.u.
* SG: No. 59



Entry 3:
Compound: CsPmCd2Cl8
Source: Alexandria via LeMat-Bulk
Functional: PBE
Structure: relaxed

a b c (Å): 6.709 6.826 9.648
angles (deg): 74.06 76.36 75.53
Fractional coordinates of all 12 atoms:
Cs (0.000, 0.000, 0.500)
Pm (0.000, 0.000, 0.000)
Cd (0.459, 0.448, 0.717)
Cd (0.541, 0.552, 0.283)
Cl (0.167, 0.712, 0.228)
Cl (0.715, 0.761, 0.037)
Cl (0.748, 0.209, 0.203)
Cl (0.833, 0.288, 0.772)
Cl (0.285, 0.239, 0.963)
Cl (0.252, 0.791, 0.797)
Cl (0.615, 0.708, 0.473)
Cl (0.385, 0.292, 0.527)

Summary:
* ρ: 3.2 Mg/m³
* uncorrected formation energy: -155.1 kJ/mol of atoms
* raw total energy: -41.50 eV/f.u.
* SG: No. 2



Entry 4:
Compound: CsPmCdCl6
Source: Alexandria via LeMat-Bulk
Functional: PBE
Structure: relaxed

a b c (Å): 10.102 9.556 9.946
angles (deg): 118.71 120.52 90.00
Fractional coordinates of all 18 atoms:
Cs (0.806, 0.556, 0.613)
Cs (0.194, 0.444, 0.387)
Pm (0.500, 0.000, 0.500)
Pm (0.000, 0.000, 0.500)
Cd (0.500, 0.500, 0.000)
Cd (0.500, 0.000, 0.000)
Cl (0.437, 0.687, 0.873)
Cl (0.827, 0.077, 0.654)
Cl (0.823, 0.093, 0.260)
Cl (0.437, 0.667, 0.260)
Cl (0.437, 0.093, 0.260)
Cl (0.823, 0.667, 0.260)
Cl (0.563, 0.313, 0.127)
Cl (0.173, 0.923, 0.346)
Cl (0.177, 0.907, 0.740)
Cl (0.563, 0.333, 0.740)
Cl (0.563, 0.907, 0.740)
Cl (0.177, 0.333, 0.740)

Summary:
* ρ: 2.9 Mg/m³
* uncorrected formation energy: -173.5 kJ/mol of atoms
* raw total energy: -33.78 eV/f.u.
* SG: No. 74



Entry 5:
Compound: CsPrCd2Cl8
Source: Alexandria via LeMat-Bulk
Functional: PBE
Structure: relaxed

a b c (Å): 6.728 6.874 9.711
angles (deg): 73.98 76.51 75.72
Fractional coordinates of all 12 atoms:
Cs (0.000, 0.000, 0.500)
Pr (0.000, 0.000, 0.000)
Cd (0.460, 0.450, 0.714)
Cd (0.540, 0.550, 0.286)
Cl (0.165, 0.710, 0.232)
Cl (0.708, 0.761, 0.040)
Cl (0.752, 0.214, 0.204)
Cl (0.835, 0.290, 0.768)
Cl (0.292, 0.239, 0.960)
Cl (0.248, 0.786, 0.796)
Cl (0.610, 0.711, 0.472)
Cl (0.390, 0.289, 0.528)

Summary:
* ρ: 3.2 Mg/m³
* uncorrected formation energy: -154.8 kJ/mol of atoms
* raw total energy: -41.49 eV/f.u.
* SG: No. 2



Entry 6:
Compound: Cs2CdPtCl6
Source: Alexandria via LeMat-Bulk
Functional: PBE
Structure: relaxed

a b c (Å): 7.417 7.417 13.190
angles (deg): 73.67 73.67 60.00
Last column: magnetic moment on the atom in μB.
Fractional coordinates of all 20 atoms:
Cs (0.874, 0.874, 0.377)  0.00
Cs (0.126, 0.126, 0.623)  0.00
Cs (0.708, 0.708, 0.875)  0.00
Cs (0.292, 0.292, 0.125)  0.00
Cd (0.588, 0.588, 0.236)  0.00
Cd (0.412, 0.412, 0.764)  0.00
Pt (0.000, 0.000, 0.000)  0.02
Pt (0.500, 0.500, 0.500)  1.23
Cl (0.859, 0.383, 0.374)  0.09
Cl (0.383, 0.859, 0.374)  0.09
Cl (0.383, 0.383, 0.374)  0.09
Cl (0.141, 0.617, 0.626)  0.09
Cl (0.617, 0.141, 0.626)  0.09
Cl (0.617, 0.617, 0.626)  0.09
Cl (0.717, 0.199, 0.886)  0.00
Cl (0.199, 0.717, 0.886)  0.00
Cl (0.199, 0.199, 0.886)  0.00
Cl (0.283, 0.801, 0.114)  0.00
Cl (0.801, 0.283, 0.114)  0.00
Cl (0.801, 0.801, 0.114)  0.00

Summary:
* ρ: 4.4 Mg/m³
* uncorrected formation energy: -112.0 kJ/mol of atoms
* raw total energy: -31.35 eV/f.u.
* SG: No. 166



Entry 7:
Compound: CsCdPtCl6
Source: Alexandria via LeMat-Bulk
Functional: PBE
Structure: relaxed

a b c (Å): 6.918 6.612 7.798
angles (deg): 88.53 87.18 58.45
Last column: magnetic moment on the atom in μB.
Fractional coordinates of all 9 atoms:
Cs (0.008, 0.985, 0.000)  0.00
Cd (0.680, 0.641, 0.500)  0.00
Pt (0.334, 0.332, 0.500)  0.54
Cl (0.017, 0.370, 0.294)  0.14
Cl (0.347, 0.031, 0.673)  0.01
Cl (0.613, 0.370, 0.706)  0.14
Cl (0.025, 0.621, 0.671)  0.01
Cl (0.354, 0.621, 0.329)  0.01
Cl (0.622, 0.031, 0.327)  0.01

Summary:
* ρ: 3.6 Mg/m³
* uncorrected formation energy: -94.8 kJ/mol of atoms
* raw total energy: -27.73 eV/f.u.
* SG: No. 5



Entry 8:
Compound: Cs2PuCdCl6
Source: Alexandria via LeMat-Bulk
Functional: PBE
Structure: relaxed

a b c (Å): 7.843 7.843 11.100
angles (deg): 90.00 90.00 90.00
Last column: magnetic moment on the atom in μB.
Fractional coordinates of all 20 atoms:
Cs (0.500, 0.750, 0.250)  0.00
Cs (0.000, 0.250, 0.750)  0.00
Cs (0.500, 0.750, 0.750)  0.00
Cs (0.000, 0.250, 0.250)  0.00
Pu (0.000, 0.749, 0.500)  5.46
Pu (0.500, 0.251, 0.000)  5.46
Cd (0.500, 0.249, 0.500)  0.17
Cd (0.000, 0.751, 0.000)  0.17
Cl (0.500, 0.250, 0.249)  0.00
Cl (0.500, 0.250, 0.751)  0.00
Cl (0.000, 0.750, 0.251)  0.00
Cl (0.000, 0.750, 0.749)  0.00
Cl (0.250, 0.998, 0.500)  0.00
Cl (0.750, 0.998, 0.500)  0.00
Cl (0.249, 0.500, 0.500)  0.00
Cl (0.751, 0.500, 0.500)  0.00
Cl (0.749, 0.500, 0.000)  0.00
Cl (0.251, 0.500, 0.000)  0.00
Cl (0.250, 0.002, 0.000)  0.00
Cl (0.750, 0.002, 0.000)  0.00

Summary:
* ρ: 4.1 Mg/m³
* uncorrected formation energy: -163.5 kJ/mol of atoms
* raw total energy: -44.98 eV/f.u.
* SG: No. 59



Entry 9:
Compound: CsPuCdCl6
Source: Alexandria via LeMat-Bulk
Functional: PBE
Structure: relaxed

a b c (Å): 10.063 9.575 9.897
angles (deg): 118.93 120.56 90.00
Last column: magnetic moment on the atom in μB.
Fractional coordinates of all 18 atoms:
Cs (0.810, 0.560, 0.620)  0.00
Cs (0.190, 0.440, 0.380)  0.00
Pu (0.500, 0.000, 0.500)  5.03
Pu (0.000, 0.000, 0.500)  5.03
Cd (0.500, 0.500, 0.000)  0.00
Cd (0.500, 0.000, 0.000)  0.00
Cl (0.436, 0.686, 0.872)  0.00
Cl (0.826, 0.076, 0.652)  -0.04
Cl (0.826, 0.095, 0.261)  -0.02
Cl (0.435, 0.666, 0.261)  -0.02
Cl (0.435, 0.095, 0.261)  -0.02
Cl (0.826, 0.666, 0.261)  -0.02
Cl (0.564, 0.314, 0.128)  0.00
Cl (0.174, 0.924, 0.348)  -0.04
Cl (0.174, 0.905, 0.739)  -0.02
Cl (0.565, 0.334, 0.739)  -0.02
Cl (0.565, 0.905, 0.739)  -0.02
Cl (0.174, 0.334, 0.739)  -0.02

Summary:
* ρ: 3.4 Mg/m³
* uncorrected formation energy: -157.7 kJ/mol of atoms
* raw total energy: -41.89 eV/f.u.
* SG: No. 74



Entry 10:
Compound: CsPuCd2Cl8
Source: Alexandria via LeMat-Bulk
Functional: PBE
Structure: relaxed

a b c (Å): 6.634 6.906 9.592
angles (deg): 74.17 76.71 75.82
Last column: magnetic moment on the atom in μB.
Fractional coordinates of all 12 atoms:
Cs (0.000, 0.000, 0.500)  0.00
Pu (0.000, 0.000, 0.000)  5.02
Cd (0.457, 0.450, 0.717)  0.01
Cd (0.543, 0.550, 0.283)  0.01
Cl (0.164, 0.709, 0.228)  -0.02
Cl (0.716, 0.762, 0.036)  -0.02
Cl (0.750, 0.216, 0.198)  -0.02
Cl (0.836, 0.291, 0.772)  -0.02
Cl (0.284, 0.238, 0.964)  -0.02
Cl (0.250, 0.784, 0.802)  -0.02
Cl (0.608, 0.713, 0.473)  0.00
Cl (0.392, 0.287, 0.527)  0.00

Summary:
* ρ: 3.6 Mg/m³
* uncorrected formation energy: -143.1 kJ/mol of atoms
* raw total energy: -49.58 eV/f.u.
* SG: No. 2



Q: ρ of number 9 (CsPuCdCl6)?
A: 3.4 Mg/m³



Q: raw total energy of number 1 (CsCd2PbCl8)?
A: -34.44 eV/f.u.



Q: What is the formula in the ninth record?
A: CsPuCdCl6



What did the second record say?
Compound: Cs2PmCdCl6
Source: Alexandria via LeMat-Bulk
Functional: PBE
Structure: relaxed

a b c (Å): 8.001 7.999 11.312
angles (deg): 90.00 90.00 90.00
Last column: magnetic moment on the atom in μB.
Fractional coordinates of all 20 atoms:
Cs (0.500, 0.750, 0.250)  0.00
Cs (0.000, 0.250, 0.750)  0.00
Cs (0.500, 0.750, 0.750)  0.00
Cs (0.000, 0.250, 0.250)  0.00
Pm (0.500, 0.248, 0.500)  0.05
Pm (0.000, 0.752, 0.000)  0.05
Cd (0.000, 0.748, 0.500)  0.25
Cd (0.500, 0.252, 0.000)  0.25
Cl (0.500, 0.248, 0.260)  0.02
Cl (0.500, 0.248, 0.740)  0.02
Cl (0.000, 0.752, 0.240)  0.02
Cl (0.000, 0.752, 0.760)  0.02
Cl (0.260, 0.008, 0.500)  0.02
Cl (0.740, 0.008, 0.500)  0.02
Cl (0.260, 0.488, 0.500)  0.02
Cl (0.740, 0.488, 0.500)  0.02
Cl (0.760, 0.512, 0.000)  0.02
Cl (0.240, 0.512, 0.000)  0.02
Cl (0.240, 0.992, 0.000)  0.02
Cl (0.760, 0.992, 0.000)  0.02

Summary:
* ρ: 3.4 Mg/m³
* uncorrected formation energy: -174.1 kJ/mol of atoms
* raw total energy: -36.50 eV/f.u.
* SG: No. 59